Material: CrCo2H
Method: DFT, GGA-PBE
State: relaxed

* uncorrected energy: -6.213 eV per atom
* energy relative to the lowest polymorph listed for this composition: 0.540 eV per atom
* total magnetic moment: 4.00 μB per cell

a b c (Å): 5.326 5.326 5.326
angles (deg): 90.00 90.00 90.00
Space group Fm-3m (No. 225)
Inequivalent atoms, fractional coordinates:
Cr1 0.000 0.000 0.000
Co1 0.250 0.250 0.250
H1 0.000 0.000 0.500